Entry 1:
## Pr4Si2I3 (PBE)

Data for a relaxed structure of Pr4Si2I3.

Cell lengths 10.3283, 10.3283, 6.0815 Å; angles 92.78, 92.78, 80.39 degrees
Fractional coordinates of all 18 atoms:
Pr: 0.0637 0.6793 0.9939
Pr: 0.2012 0.4055 0.5499
Pr: 0.3207 0.9363 0.5061
Pr: 0.4055 0.2012 0.0499
Pr: 0.5945 0.7988 0.9501
Pr: 0.6793 0.0637 0.4939
Pr: 0.7988 0.5945 0.4501
Pr: 0.9363 0.3207 0.0061
Si: 0.1846 0.4100 0.0599
Si: 0.4100 0.1846 0.5599
Si: 0.5900 0.8154 0.4401
Si: 0.8154 0.5900 0.9401
I: 0.0156 0.7955 0.4887
I: 0.2045 0.9844 0.0113
I: 0.3599 0.6401 0.7500
I: 0.6401 0.3599 0.2500
I: 0.7955 0.0156 0.9887
I: 0.9844 0.2045 0.5113

Summary:
relative energy among the computed polymorphs: 282.0 meV/atom

=====

Entry 2:
## Pr4Si2I (PBE)

Data for a relaxed structure of Pr4Si2I.

Cell lengths 8.0463, 8.0463, 8.0463 Å; angles 109.52, 109.52, 109.37 degrees
Fractional coordinates of all 14 atoms:
Pr: 0.1448 0.7454 0.7479
Pr: 0.1469 0.2475 0.7521
Pr: 0.2546 0.0025 0.3993
Pr: 0.4954 0.3948 0.2479
Pr: 0.6031 0.8552 0.6007
Pr: 0.6052 0.8531 0.1007
Pr: 0.7525 0.5046 0.8993
Pr: 0.9975 0.3969 0.2521
Si: 0.2426 0.6250 0.1176
Si: 0.3750 0.4926 0.6176
Si: 0.5074 0.1250 0.8824
Si: 0.8750 0.7574 0.3824
I: 0.0000 0.0000 0.0000
I: 0.7500 0.2500 0.5000

=====

Entry 3:
## Pr2SiI (PBE)

Data for a relaxed structure of Pr2SiI.

Cell lengths 8.1950, 8.1950, 8.1950 Å; angles 30.83, 30.83, 30.83 degrees
Fractional coordinates of all 4 atoms:
Pr: 0.2327 0.2327 0.2327
Pr: 0.7673 0.7673 0.7673
Si: 0.5000 0.5000 0.5000
I: 0.0000 0.0000 0.0000

Summary:
relative energy among the computed polymorphs: 0.0 meV/atom

=====

Entry 4:
## Pr2SiI2 (PBE)

Data for a relaxed structure of Pr2SiI2.

Cell lengths 7.7548, 7.7548, 11.3421 Å; angles 90.00, 90.00, 148.53 degrees
Fractional coordinates of all 10 atoms:
Pr: 0.0390 0.9610 0.5000
Pr: 0.2319 0.7681 0.7385
Pr: 0.7681 0.2319 0.2385
Pr: 0.9610 0.0390 0.0000
Si: 0.3470 0.6530 0.0853
Si: 0.6530 0.3470 0.5853
I: 0.0965 0.9035 0.2304
I: 0.3663 0.6337 0.4294
I: 0.6337 0.3663 0.9294
I: 0.9035 0.0965 0.7304

=====

Entry 5:
## PrSiI (PBE)

Data for a relaxed structure of PrSiI.

Cell lengths 4.0281, 4.0281, 14.1175 Å; angles 93.06, 93.06, 60.01 degrees
Fractional coordinates of all 6 atoms:
Pr: 0.1439 0.1439 0.3168
Pr: 0.8561 0.8561 0.6832
Si: 0.1709 0.1709 0.5336
Si: 0.8291 0.8291 0.4664
I: 0.4579 0.4579 0.1607
I: 0.5421 0.5421 0.8393

=====

Entry 6:
## PrSiI (PBE)

Data for a relaxed structure of PrSiI.

Cell lengths 12.3531, 12.3531, 3.9754 Å; angles 90.00, 90.00, 159.94 degrees
Fractional coordinates of all 6 atoms:
Pr: 0.0736 0.9264 0.7500
Pr: 0.9264 0.0736 0.2500
Si: 0.4718 0.5282 0.7500
Si: 0.5282 0.4718 0.2500
I: 0.1733 0.8267 0.2500
I: 0.8267 0.1733 0.7500

=====

Entry 7:
## Pr3SiI3 (PBE)

Data for a relaxed structure of Pr3SiI3.

Cell lengths 7.6742, 7.6742, 10.0096 Å; angles 104.75, 104.75, 105.42 degrees
Fractional coordinates of all 14 atoms:
Pr: 0.1449 0.5092 0.7056
Pr: 0.1661 0.1661 0.3278
Pr: 0.4908 0.8551 0.2944
Pr: 0.5092 0.1449 0.7056
Pr: 0.8339 0.8339 0.6722
Pr: 0.8551 0.4908 0.2944
Si: 0.1158 0.1158 0.6083
Si: 0.8842 0.8842 0.3917
I: 0.1677 0.8323 0.0000
I: 0.3335 0.6665 0.5000
I: 0.3965 0.3965 0.1285
I: 0.6035 0.6035 0.8715
I: 0.6665 0.3335 0.5000
I: 0.8323 0.1677 0.0000

Summary:
relative energy among the computed polymorphs: 451.8 meV/atom

=====

Entry 8:
## Pr3SiI3 (PBE)

Data for a relaxed structure of Pr3SiI3.

Cell lengths 9.2204, 4.3725, 12.6524 Å; angles 90.00, 90.90, 90.00 degrees
Fractional coordinates of all 14 atoms:
Pr: 0.1009 0.2500 0.3847
Pr: 0.1180 0.2500 0.8424
Pr: 0.3241 0.7500 0.6208
Pr: 0.6759 0.2500 0.3792
Pr: 0.8820 0.7500 0.1576
Pr: 0.8991 0.7500 0.6153
Si: 0.1170 0.2500 0.6186
Si: 0.8830 0.7500 0.3814
I: 0.1376 0.2500 0.1196
I: 0.3714 0.7500 0.8750
I: 0.3840 0.7500 0.3659
I: 0.6160 0.2500 0.6341
I: 0.6286 0.2500 0.1250
I: 0.8624 0.7500 0.8804

Summary:
relative energy among the computed polymorphs: 0.0 meV/atom

=====

Entry 9:
## Pr6Si2SnI3 (PBE)

Data for a relaxed structure of Pr6Si2SnI3.

Cell lengths 10.3097, 10.3097, 9.3163 Å; angles 106.27, 106.27, 24.79 degrees
Fractional coordinates of all 12 atoms:
Pr: 0.0174 0.0174 0.2431
Pr: 0.3211 0.3211 0.4409
Pr: 0.3361 0.3361 0.8713
Pr: 0.6639 0.6639 0.1287
Pr: 0.6789 0.6789 0.5591
Pr: 0.9826 0.9826 0.7569
Si: 0.1683 0.1683 0.3397
Si: 0.8317 0.8317 0.6603
Sn: 0.5000 0.5000 0.0000
I: 0.1642 0.1642 0.8346
I: 0.5000 0.5000 0.5000
I: 0.8358 0.8358 0.1654

=====

Entry 10:
## Pr4SiTeI2 (PBE)

Data for a relaxed structure of Pr4SiTeI2.

Cell lengths 7.9037, 4.4110, 8.0616 Å; angles 90.00, 108.44, 90.00 degrees
Fractional coordinates of all 8 atoms:
Pr: 0.2094 0.0000 0.2003
Pr: 0.2315 0.5000 0.7923
Pr: 0.7685 0.5000 0.2077
Pr: 0.7906 0.0000 0.7997
Si: 0.0000 0.5000 0.0000
Te: 0.5000 0.0000 0.0000
I: 0.0000 0.0000 0.5000
I: 0.5000 0.5000 0.5000

=====

Entry 11:
## Pr6Si2TeI3 (PBE)

Data for a relaxed structure of Pr6Si2TeI3.

Cell lengths 10.2675, 10.2675, 9.3029 Å; angles 105.90, 105.90, 24.81 degrees
Fractional coordinates of all 12 atoms:
Pr: 0.0212 0.0212 0.2462
Pr: 0.3214 0.3214 0.4427
Pr: 0.3342 0.3342 0.8675
Pr: 0.6658 0.6658 0.1325
Pr: 0.6786 0.6786 0.5573
Pr: 0.9788 0.9788 0.7538
Si: 0.1695 0.1695 0.3396
Si: 0.8305 0.8305 0.6604
Te: 0.5000 0.5000 0.0000
I: 0.1637 0.1637 0.8349
I: 0.5000 0.5000 0.5000
I: 0.8363 0.8363 0.1651

=====

Entry 12:
## Pr4SiTe2I (PBE)

Data for a relaxed structure of Pr4SiTe2I.

Cell lengths 7.7391, 4.4299, 7.9567 Å; angles 90.00, 108.60, 90.00 degrees
Fractional coordinates of all 8 atoms:
Pr: 0.2255 0.0000 0.2170
Pr: 0.2439 0.5000 0.7823
Pr: 0.7561 0.5000 0.2177
Pr: 0.7745 0.0000 0.7830
Si: 0.0000 0.5000 0.0000
Te: 0.5000 0.0000 0.0000
Te: 0.5000 0.5000 0.5000
I: 0.0000 0.0000 0.5000

=====

Number 1: calculated total energy -4.627 eV per atom, formation energy (no corrections) -0.781 eV/atom. Number 2: calculated total energy -5.200 eV per atom, formation energy (no corrections) -0.698 eV/atom. Number 3: calculated total energy -5.088 eV per atom, formation energy (no corrections) -0.955 eV/atom. Number 4: calculated total energy -4.450 eV per atom, formation energy (no corrections) -0.834 eV/atom. Number 5: calculated total energy -4.821 eV per atom, formation energy (no corrections) -0.904 eV/atom. Number 6: calculated total energy -4.851 eV per atom, formation energy (no corrections) -0.933 eV/atom. Number 7: calculated total energy -4.213 eV per atom, formation energy (no corrections) -0.726 eV/atom. Number 8: calculated total energy -4.665 eV per atom, formation energy (no corrections) -1.178 eV/atom. Number 9: calculated total energy -4.950 eV per atom, formation energy (no corrections) -0.935 eV/atom. Number 10: calculated total energy -4.938 eV per atom, formation energy (no corrections) -1.090 eV/atom. Number 11: calculated total energy -4.986 eV per atom, formation energy (no corrections) -1.043 eV/atom. Number 12: calculated total energy -5.224 eV per atom, formation energy (no corrections) -1.178 eV/atom.